DFT (PBE-GGA) results for crystalline Tb5PmDyEr2 at its relaxed geometry.

- space group = Cmc2_1
- crystal system = orthorhombic
- volume (Å³/cell) = 590.2

Cell lengths 5.594, 10.340, 10.598 Å; angles 90.00, 90.00, 105.69 degrees
Element x y z (fractional)
Tb  0.017  0.035  0.025
Tb  0.300  0.599  0.707
Tb  0.607  0.214  0.524
Tb  0.522  0.043  0.238
Tb  0.700  0.401  0.207
Tb  0.282  0.563  0.307
Tb  0.393  0.786  0.024
Tb  0.478  0.957  0.738
Tb  0.718  0.437  0.807
Tb  0.983  0.965  0.525
Dy  0.414  0.828  0.454
Dy  0.586  0.172  0.954
Er  0.891  0.782  0.238
Er  0.886  0.771  0.819
Er  0.114  0.229  0.319
Er  0.109  0.218  0.738
Pm  0.799  0.598  0.511
Pm  0.201  0.402  0.011

DFT (PBE-GGA) results for crystalline TbPm6Dy2Er3 at its relaxed geometry.

- space group = C2/m
- crystal system = monoclinic
- volume (Å³/cell) = 390.4

Cell lengths 6.228, 6.228, 11.803 Å; angles 95.03, 95.03, 119.99 degrees
Element x y z (fractional)
Pm  0.084  0.417  0.251
Pm  0.751  0.751  0.251
Pm  0.417  0.084  0.251
Pm  0.916  0.583  0.749
Pm  0.249  0.249  0.749
Pm  0.583  0.916  0.749
Er  0.833  0.167  0.500
Er  0.500  0.500  0.500
Er  0.167  0.833  0.500
Dy  0.667  0.333  0.000
Dy  0.333  0.667  0.000
Tb  0.000  0.000  0.000

DFT (PBE-GGA) results for crystalline Tb3Pm2DyEr6 at its relaxed geometry.

- space group = C2/m
- crystal system = monoclinic
- volume (Å³/cell) = 377.2

Cell lengths 6.144, 6.144, 11.715 Å; angles 95.00, 95.00, 119.96 degrees
Element x y z (fractional)
Er  0.583  0.916  0.749
Er  0.248  0.248  0.748
Er  0.916  0.583  0.749
Er  0.752  0.752  0.252
Er  0.417  0.084  0.251
Er  0.084  0.417  0.251
Tb  0.167  0.833  0.500
Tb  0.833  0.167  0.500
Tb  0.500  0.500  0.500
Dy  0.000  0.000  0.000
Pm  0.667  0.333  0.000
Pm  0.333  0.667  0.000

DFT (PBE-GGA) results for crystalline Tb4PmDy2Er2 at its relaxed geometry.

- space group = C2/m
- crystal system = monoclinic
- volume (Å³/cell) = 286.6

Cell lengths 3.586, 9.478, 9.530 Å; angles 115.20, 90.00, 100.91 degrees
Element x y z (fractional)
Tb  0.519  0.037  0.335
Tb  0.186  0.371  0.334
Tb  0.481  0.963  0.665
Tb  0.814  0.629  0.666
Dy  0.852  0.704  0.332
Dy  0.148  0.296  0.668
Er  0.332  0.664  0.999
Er  0.668  0.336  0.001
Pm  0.000  0.000  0.000

no.,final energy (eV/atom),ΔH_f (0 K) (eV/atom)
1,-4.471,0.1544
2,-4.656,0.0129
3,-4.597,0.0174
4,-4.620,0.0020